Ho6Ti4Al43 after structural relaxation, computed with PBE.

Unit cell a=11.0758 b=11.0758 c=17.7462 alpha=90.00 beta=90.00 gamma=120.00
Space group P6_3/mcm (No. 193)
One atom of each set of equivalent atoms:
Ho 0.0000 0.4715 0.0963 (multiplicity 12)
Ti 0.0000 0.0000 0.0000 (multiplicity 2)
Ti 0.0000 0.2723 0.2500 (multiplicity 6)
Al 0.0000 0.1473 0.7500 (multiplicity 6)
Al 0.0000 0.1559 0.1162 (multiplicity 12)
Al 0.0000 0.2533 0.5285 (multiplicity 12)
Al 0.1486 0.5533 0.2500 (multiplicity 12)
Al 0.1599 0.3939 0.6631 (multiplicity 24)
Al 0.2469 0.4939 0.0000 (multiplicity 12)
Al 0.3333 0.6667 0.1255 (multiplicity 8)

**DFT formation energy**: -337 meV per atom
**ρ**: 4124 kg/m³
**Raw total energy**: -4.488 eV/atom
**DOS(E_F)**: 21.2 states/eV/f.u.
**Magnetization**: 0.00 μB per cell